Here is a relaxed HoPAuO crystal from OQMD. Energies are from PBE.

Computed properties:
- relative energy among the computed polymorphs (eV per atom) = 0.0000
- space group = No. 129
- total moment (μB/cell) = 0.01

The structure in extended XYZ format:
```
8
Lattice="-2.700 2.115 -2.099 -2.968 -2.157 1.645 -0.540 5.506 6.244" Properties=species:S:1:pos:R:3 pbc="T T T"
Au -3.037 3.800 1.959
Au -3.171 1.664 3.831
Ho -1.484 0.674 0.662
Ho -4.725 4.791 5.128
O -2.767 1.047 -1.163
O -2.901 -1.089 0.709
P -4.418 1.665 1.583
P -1.791 3.799 4.207
```

=====

Here is a relaxed ScSiPd2 crystal from OQMD. Energies are from PBE.

Computed properties:
- space group = No. 123
- total moment (μB/cell) = 0.01
- uncorrected energy (eV/f.u.) = -24.6

The structure in extended XYZ format:
```
4
Lattice="-0.239 0.886 -2.916 -2.839 -1.129 -0.110 -2.479 6.032 2.036" Properties=species:S:1:pos:R:3 pbc="T T T"
Pd -2.056 1.138 -1.088
Pd -3.500 4.651 0.098
Sc -1.239 3.016 1.018
Si 0.000 0.000 0.000
```

=====

Here is a relaxed NaPuBi crystal from OQMD. Energies are from PBE.

Computed properties:
- space group = No. 216
- total moment (μB/cell) = 5.97
- uncorrected energy (eV/f.u.) = -19.3

The structure in extended XYZ format:
```
3
Lattice="-5.075 1.184 -0.881 -3.759 -1.981 3.142 -2.592 3.170 3.341" Properties=species:S:1:pos:R:3 pbc="T T T"
Bi -8.569 1.780 4.202
Na -2.856 0.593 1.401
Pu 0.000 0.000 0.000
```

=====

Here is a relaxed HfTa2Sb2 crystal from OQMD. Energies are from PBE.

Computed properties:
- space group = No. 139
- total moment (μB/cell) = 0.00
- uncorrected energy (eV/f.u.) = -40.8

The structure in extended XYZ format:
```
5
Lattice="-1.922 1.922 7.582 1.922 -1.922 7.582 1.922 1.922 -7.582" Properties=species:S:1:pos:R:3 pbc="T T T"
Hf 0.000 0.000 0.000
Sb 0.000 0.000 5.983
Sb 0.000 0.000 9.180
Ta 0.000 1.922 3.791
Ta 1.922 0.000 3.791
```

=====

Here is a relaxed RbZrW crystal from OQMD. Energies are from PBE.

Computed properties:
- relative energy among the computed polymorphs (eV per atom) = 0.0000
- space group = No. 216
- total moment (μB/cell) = 0.78

The structure in extended XYZ format:
```
3
Lattice="0.000 3.483 3.483 3.483 0.000 3.483 3.483 3.483 0.000" Properties=species:S:1:pos:R:3 pbc="T T T"
Rb 3.483 3.483 3.483
W 1.742 1.742 1.742
Zr 0.000 0.000 0.000
```

=====

Here is a relaxed SmHgPO crystal from OQMD. Energies are from PBE.

Computed properties:
- relative energy among the computed polymorphs (eV per atom) = 0.0000
- space group = No. 166
- total moment (μB/cell) = 0.00

The structure in extended XYZ format:
```
8
Lattice="2.056 1.187 10.638 -2.056 1.187 10.638 0.000 -2.374 10.638" Properties=species:S:1:pos:R:3 pbc="T T T"
Hg 0.000 0.000 6.381
Hg 0.000 0.000 25.532
O 0.000 0.000 9.782
O 0.000 0.000 22.131
P 0.000 0.000 3.347
P 0.000 0.000 28.566
Sm 0.000 0.000 12.054
Sm 0.000 0.000 19.859
```

=====

Here is a relaxed Ho2ErCu4Si2Ge2 crystal from OQMD. Energies are from PBE.

Computed properties:
- relative energy among the computed polymorphs (eV per atom) = 0.0088
- space group = No. 71
- total moment (μB/cell) = 0.00

The structure in extended XYZ format:
```
11
Lattice="-2.083 3.278 6.864 2.083 -3.278 6.864 2.083 3.278 -6.864" Properties=species:S:1:pos:R:3 pbc="T T T"
Cu 0.000 1.254 4.616
Cu 0.000 1.254 9.112
Cu 2.083 2.024 -2.248
Cu 2.083 2.024 2.248
Er 0.000 3.278 0.000
Ge 0.000 3.278 2.969
Ge 2.083 0.000 3.894
Ho 0.000 0.000 1.771
Ho 0.000 0.000 11.957
Si 0.000 2.070 6.864
Si 2.083 1.208 0.000
```

=====

Here is a relaxed ReTcPO crystal from OQMD. Energies are from PBE.

Computed properties:
- relative energy among the computed polymorphs (eV per atom) = 0.1797
- space group = No. 129
- total moment (μB/cell) = 1.46

The structure in extended XYZ format:
```
8
Lattice="2.877 -2.877 0.000 2.877 2.877 0.000 0.000 0.000 5.925" Properties=species:S:1:pos:R:3 pbc="T T T"
O 1.438 -1.438 0.000
O 1.438 1.438 0.000
P 2.877 0.000 1.707
P 0.000 0.000 4.217
Re 1.438 -1.438 2.962
Re 1.438 1.438 2.962
Tc 0.000 0.000 0.833
Tc 2.877 0.000 5.092
```

=====

Here is a relaxed MoI2Cl3 crystal from OQMD. Energies are from PBE.

Computed properties:
- relative energy among the computed polymorphs (eV per atom) = 0.0088
- space group = No. 2
- total moment (μB/cell) = 1.98

The structure in extended XYZ format:
```
12
Lattice="-1.625 6.222 -0.803 -2.304 -4.389 -5.029 -6.091 -1.045 7.589" Properties=species:S:1:pos:R:3 pbc="T T T"
Cl -4.129 -0.789 -3.890
Cl -3.745 1.983 -1.118
Cl -2.574 -0.268 1.944
Cl -7.445 1.056 -0.187
Cl -6.275 -1.195 2.874
Cl -5.891 1.577 5.646
I -1.079 -0.920 -1.230
I -4.770 -1.871 -0.304
I -5.250 2.659 2.060
I -8.941 1.708 2.987
Mo -3.765 3.993 0.006
Mo -6.255 -3.206 1.751
```

=====

Here is a relaxed CdAsPdAu crystal from OQMD. Energies are from PBE.

Computed properties:
- relative energy among the computed polymorphs (eV per atom) = 0.0000
- space group = No. 216

The structure in extended XYZ format:
```
4
Lattice="1.841 2.578 3.451 -2.711 1.474 3.524 0.515 -1.838 4.278" Properties=species:S:1:pos:R:3 pbc="T T T"
As -0.178 1.107 5.627
Au -0.267 1.660 8.440
Cd 0.000 0.000 0.000
Pd -0.089 0.553 2.813
```

=====

Here is a relaxed LiGa2Ni crystal from OQMD. Energies are from PBE.

Computed properties:
- relative energy among the computed polymorphs (eV per atom) = 0.0545
- space group = No. 123
- total moment (μB/cell) = 0.01

The structure in extended XYZ format:
```
4
Lattice="3.028 0.000 0.000 0.000 3.028 0.000 0.000 0.000 5.830" Properties=species:S:1:pos:R:3 pbc="T T T"
Ga 1.514 1.514 1.555
Ga 1.514 1.514 4.275
Li 0.000 0.000 0.000
Ni 0.000 0.000 2.915
```

=====

Here is a relaxed LiZrAlPt crystal from OQMD. Energies are from PBE.

Computed properties:
- relative energy among the computed polymorphs (eV per atom) = 0.2624
- space group = No. 216
- total moment (μB/cell) = 0.00

The structure in extended XYZ format:
```
4
Lattice="0.000 3.215 3.215 3.215 0.000 3.215 3.215 3.215 0.000" Properties=species:S:1:pos:R:3 pbc="T T T"
Al 0.000 0.000 0.000
Li 4.823 4.823 4.823
Pt 3.215 3.215 3.215
Zr 1.608 1.608 1.608
```